# 1
A geometry-optimized KAsSe2O8 structure, computed with PBE.

a = 5.184 Å, b = 5.184 Å, c = 8.279 Å
α = 93.66°, β = 93.66°, γ = 66.03°
Positions (direct):
K1 0.000 0.000 0.000
As1 0.000 0.000 0.500
Se1 0.371 0.371 0.708
Se2 0.629 0.629 0.292
O1 0.240 0.240 0.546
O2 0.241 0.728 0.692
O3 0.272 0.759 0.308
O4 0.302 0.302 0.887
O5 0.698 0.698 0.113
O6 0.728 0.241 0.692
O7 0.759 0.272 0.308
O8 0.760 0.760 0.454

Values from the calculation:
As for the formation energy without anion corrections: -0.8847 eV/atom.

=====

# 2
A geometry-optimized ZrMnBe2 structure, computed with PBE.

a = 3.556 Å, b = 5.092 Å, c = 5.092 Å
α = 33.88°, β = 90.00°, γ = 90.00°
Positions (direct):
Zr1 0.000 0.000 0.000
Mn1 0.500 0.308 0.308
Be1 0.000 0.734 0.734
Be2 0.500 0.624 0.624

Values from the calculation:
As for the energy relative to the elements: -6 meV per atom.

=====

# 3
A geometry-optimized NiMoPS2 structure, computed with PBE.

a = 4.606 Å, b = 4.606 Å, c = 4.783 Å
α = 90.00°, β = 90.00°, γ = 90.00°
Positions (direct):
Ni1 0.000 0.000 0.000
Mo1 0.500 0.500 0.500
P1 0.500 0.500 0.000
S1 0.000 0.500 0.500
S2 0.500 0.000 0.500

Values from the calculation:
As for the formation energy without anion corrections: 0.6878 eV/atom.

=====

# 4
A geometry-optimized Nb2CoSi structure, computed with PBE.

a = 5.555 Å, b = 5.555 Å, c = 5.555 Å
α = 103.97°, β = 103.97°, γ = 121.13°
Positions (direct):
Nb1 0.109 0.125 0.484
Nb2 0.375 0.891 0.016
Nb3 0.641 0.625 0.516
Nb4 0.875 0.359 0.984
Co1 0.000 0.000 0.000
Co2 0.750 0.250 0.500
Si1 0.250 0.750 0.500
Si2 0.500 0.500 0.000

Values from the calculation:
As for the formation energy without anion corrections: 0.0821 eV/atom.

=====

# 5
A geometry-optimized ZnPtPb2 structure, computed with PBE.

a = 5.665 Å, b = 5.665 Å, c = 5.665 Å
α = 134.80°, β = 134.80°, γ = 65.84°
Positions (direct):
Zn1 0.000 0.000 0.000
Pt1 0.750 0.250 0.500
Pb1 0.250 0.750 0.500
Pb2 0.500 0.500 0.000

Values from the calculation:
As for the energy relative to the elements: 147 meV per atom.

=====

# 6
A geometry-optimized La3HgO structure, computed with PBE.

a = 8.483 Å, b = 8.483 Å, c = 8.483 Å
α = 45.74°, β = 45.74°, γ = 45.74°
Positions (direct):
La1 0.065 0.415 0.709
La2 0.291 0.935 0.585
La3 0.415 0.709 0.065
La4 0.585 0.291 0.935
La5 0.709 0.065 0.415
La6 0.935 0.585 0.291
Hg1 0.162 0.162 0.162
Hg2 0.838 0.838 0.838
O1 0.334 0.334 0.334
O2 0.666 0.666 0.666

Values from the calculation:
As for the formation energy without anion corrections: -1.1800 eV/atom.

=====

# 7
A geometry-optimized HoTmIr2 structure, computed with PBE.

a = 4.688 Å, b = 4.688 Å, c = 3.556 Å
α = 90.00°, β = 90.00°, γ = 90.00°
Positions (direct):
Ho1 0.000 0.000 0.000
Tm1 0.500 0.500 0.000
Ir1 0.000 0.500 0.500
Ir2 0.500 0.000 0.500

Values from the calculation:
As for the energy relative to the elements: -886 meV per atom.

=====

# 8
A geometry-optimized AcNd3Y4 structure, computed with PBE.

a = 11.774 Å, b = 7.439 Å, c = 6.418 Å
α = 90.00°, β = 90.00°, γ = 90.00°
Positions (direct):
Ac1 0.000 0.126 0.000
Ac2 0.500 0.874 0.500
Nd1 0.000 0.869 0.495
Nd2 0.249 0.129 0.661
Nd3 0.251 0.871 0.161
Nd4 0.500 0.131 0.995
Nd5 0.749 0.871 0.161
Nd6 0.751 0.129 0.661
Y1 0.000 0.382 0.496
Y2 0.000 0.622 0.994
Y3 0.248 0.620 0.661
Y4 0.252 0.380 0.161
Y5 0.500 0.378 0.494
Y6 0.500 0.618 0.996
Y7 0.748 0.380 0.161
Y8 0.752 0.620 0.661

Values from the calculation:
As for the energy relative to the elements: 34 meV per atom.

=====

# 9
A geometry-optimized Pr3GaNi structure, computed with PBE.

a = 6.145 Å, b = 6.145 Å, c = 8.704 Å
α = 111.01°, β = 111.01°, γ = 65.31°
Positions (direct):
Pr1 0.021 0.021 0.233
Pr2 0.293 0.293 0.667
Pr3 0.316 0.316 0.131
Pr4 0.684 0.684 0.869
Pr5 0.707 0.707 0.333
Pr6 0.979 0.979 0.767
Ga1 0.302 0.698 0.500
Ga2 0.698 0.302 0.500
Ni1 0.309 0.691 0.000
Ni2 0.691 0.309 0.000

Values from the calculation:
As for the energy relative to the elements: -312 meV per atom.

=====

# 10
A geometry-optimized CaPd2Au6 structure, computed with PBE.

a = 5.576 Å, b = 5.576 Å, c = 7.428 Å
α = 90.00°, β = 90.00°, γ = 120.00°
Positions (direct):
Ca1 0.000 0.000 0.000
Pd1 0.333 0.667 0.500
Pd2 0.667 0.333 0.500
Au1 0.000 0.500 0.196
Au2 0.000 0.500 0.804
Au3 0.500 0.000 0.196
Au4 0.500 0.000 0.804
Au5 0.500 0.500 0.196
Au6 0.500 0.500 0.804

Values from the calculation:
As for the energy relative to the elements: -132 meV per atom.